Computed, not measured: crystalline Ta4CuGeC2 at its relaxed geometry at the PBE level of DFT.

Space-group type: P-6m2
Raw total energy: -77.038 eV/cell

Geometry as POSCAR:
```
Ta4CuGeC2
1.0
-2.056 1.991 1.372
-0.400 -0.855 -3.030
-7.245 -10.106 3.809
C Cu Ge Ta
2 1 1 4
Direct
0.333 0.667 0.249
0.333 0.667 0.751
0.000 0.000 0.000
0.667 0.333 0.500
0.667 0.333 0.159
0.000 0.000 0.342
0.000 0.000 0.658
0.667 0.333 0.841
```


Computed, not measured: crystalline PrTmPa at its relaxed geometry at the PBE level of DFT.

Space-group type: F-43m
ΔE to the lowest computed polymorph: 0 meV per atom

Geometry as POSCAR:
```
PrTmPa
1.0
0.000 3.735 3.735
3.735 0.000 3.735
3.735 3.735 0.000
Pa Pr Tm
1 1 1
Direct
0.250 0.250 0.250
0.750 0.750 0.750
0.000 0.000 0.000
```


Computed, not measured: crystalline Tm2ScAl3CuGe2 at its relaxed geometry at the PBE level of DFT.

Space-group type: Amm2
Raw total energy: -45.211 eV/cell

Geometry as POSCAR:
```
Tm2ScAl3CuGe2
1.0
-1.104 2.856 2.705
-0.873 -4.863 4.777
6.128 3.031 -0.699
Al Cu Ge Sc Tm
3 1 2 1 2
Direct
0.500 0.236 0.003
0.500 0.003 0.236
0.500 0.764 0.764
0.000 0.005 0.005
0.500 0.661 0.335
0.500 0.335 0.661
0.000 0.402 0.402
0.000 0.999 0.594
0.000 0.594 0.999
```


Computed, not measured: crystalline MgNiAgSn at its relaxed geometry at the PBE level of DFT.

Space-group type: F-43m
Raw total energy: -14.177 eV/cell

Geometry as POSCAR:
```
MgNiAgSn
1.0
0.000 3.256 3.256
3.256 0.000 3.256
3.256 3.256 0.000
Ag Mg Ni Sn
1 1 1 1
Direct
0.500 0.500 0.500
0.250 0.250 0.250
0.750 0.750 0.750
0.000 0.000 0.000
```


Computed, not measured: crystalline NbCuHgPd at its relaxed geometry at the PBE level of DFT.

Space-group type: F-43m
ΔE to the lowest computed polymorph: 95 meV per atom

Geometry as POSCAR:
```
NbCuHgPd
1.0
0.000 3.211 3.211
3.211 0.000 3.211
3.211 3.211 0.000
Cu Hg Nb Pd
1 1 1 1
Direct
0.750 0.750 0.750
0.250 0.250 0.250
0.500 0.500 0.500
0.000 0.000 0.000
```


Computed, not measured: crystalline Hf3ZrCo2 at its relaxed geometry at the PBE level of DFT.

Space-group type: Fmm2
Raw total energy: -54.376 eV/cell

Geometry as POSCAR:
```
Hf3ZrCo2
1.0
0.000 4.451 4.401
2.764 0.000 4.401
2.764 4.451 0.000
Co Hf Zr
2 3 1
Direct
0.252 0.252 0.248
0.752 0.752 0.748
0.174 0.825 0.175
0.324 0.324 0.676
0.825 0.174 0.826
0.673 0.673 0.327
```


Computed, not measured: crystalline ReBiW2 at its relaxed geometry at the PBE level of DFT.

Space-group type: F-43m
Raw total energy: -38.549 eV/cell

Geometry as POSCAR:
```
ReBiW2
1.0
2.304 -3.225 2.428
-0.143 0.045 4.646
-2.341 -3.302 2.285
Bi Re W
1 1 2
Direct
0.500 0.500 0.500
0.250 0.250 0.250
0.000 0.000 0.000
0.750 0.750 0.750
```


Computed, not measured: crystalline PrErAlOs2 at its relaxed geometry at the PBE level of DFT.

Space-group type: Imm2
Raw total energy: -37.116 eV/cell

Geometry as POSCAR:
```
PrErAlOs2
1.0
4.060 -1.341 -3.763
4.735 -0.259 3.155
-5.049 -2.635 -0.079
Al Er Os Pr
1 1 2 1
Direct
0.999 0.999 0.000
0.702 0.202 0.500
0.724 0.501 0.222
0.279 0.501 0.778
0.296 0.796 0.500
```


Computed, not measured: crystalline LiZnCoAs at its relaxed geometry at the PBE level of DFT.

Space-group type: F-43m
ΔE to the lowest computed polymorph: 217 meV per atom

Geometry as POSCAR:
```
LiZnCoAs
1.0
0.000 2.959 2.959
2.959 0.000 2.959
2.959 2.959 0.000
As Co Li Zn
1 1 1 1
Direct
0.250 0.250 0.250
0.500 0.500 0.500
0.750 0.750 0.750
0.000 0.000 0.000
```


Computed, not measured: crystalline SrFeCuTe3 at its relaxed geometry at the PBE level of DFT.

Space-group type: Pnma
ΔE to the lowest computed polymorph: 30 meV per atom

Geometry as POSCAR:
```
SrFeCuTe3
1.0
-10.581 -0.931 -0.133
0.305 -3.739 1.905
-0.692 6.130 12.145
Cu Fe Sr Te
4 4 4 12
Direct
0.740 0.250 0.212
0.240 0.250 0.288
0.760 0.750 0.712
0.260 0.750 0.788
0.525 0.750 0.242
0.025 0.750 0.258
0.975 0.250 0.742
0.475 0.250 0.758
0.766 0.750 0.018
0.266 0.750 0.482
0.734 0.250 0.518
0.234 0.250 0.982
0.541 0.250 0.107
0.969 0.250 0.129
0.266 0.750 0.179
0.766 0.750 0.321
0.469 0.250 0.371
0.041 0.250 0.393
0.959 0.750 0.607
0.531 0.750 0.629
0.234 0.250 0.679
0.734 0.250 0.821
0.031 0.750 0.871
0.459 0.750 0.893
```


Computed, not measured: crystalline ErMgRe at its relaxed geometry at the PBE level of DFT.

Space-group type: F-43m
Raw total energy: -14.630 eV/cell

Geometry as POSCAR:
```
ErMgRe
1.0
0.000 3.351 3.351
3.351 0.000 3.351
3.351 3.351 0.000
Er Mg Re
1 1 1
Direct
0.000 0.000 0.000
0.250 0.250 0.250
0.750 0.750 0.750
```


Computed, not measured: crystalline Nd3Cd3GaAg2 at its relaxed geometry at the PBE level of DFT.

Space-group type: P-62m
Raw total energy: -29.010 eV/cell

Geometry as POSCAR:
```
Nd3Cd3GaAg2
1.0
-2.608 -5.428 -4.886
7.618 1.298 0.646
0.233 -2.924 3.124
Ag Cd Ga Nd
2 3 1 3
Direct
0.667 0.333 0.000
0.333 0.667 0.000
0.753 0.000 0.000
0.247 0.247 0.000
0.000 0.753 0.000
0.000 0.000 0.500
0.409 0.000 0.500
0.000 0.409 0.500
0.591 0.591 0.500
```


Computed, not measured: crystalline ZrMo at its relaxed geometry at the PBE level of DFT.

Space-group type: Cmmm
ΔE to the lowest computed polymorph: 101 meV per atom

Geometry as POSCAR:
```
ZrMo
1.0
4.527 0.000 0.000
0.000 3.331 0.000
0.000 0.000 4.924
Mo Zr
2 2
Direct
0.417 0.500 0.000
0.417 0.000 0.500
0.917 0.000 0.000
0.917 0.500 0.500
```


Computed, not measured: crystalline Nb2Cd2O7 at its relaxed geometry at the PBE level of DFT.

Space-group type: Cc
Raw total energy: -157.739 eV/cell

Geometry as POSCAR:
```
Nb2Cd2O7
1.0
7.365 0.000 -0.006
0.006 0.000 -7.396
-3.685 5.216 3.701
Cd Nb O
4 4 14
Direct
0.000 0.493 0.001
0.494 0.493 0.491
0.502 0.002 0.509
0.499 0.492 0.999
0.996 0.990 0.001
0.992 0.478 0.487
0.005 0.991 0.513
0.495 0.989 0.999
0.320 0.077 0.139
0.676 0.325 0.247
0.074 0.325 0.248
0.376 0.628 0.251
0.687 0.939 0.253
0.071 0.938 0.254
0.929 0.680 0.357
0.073 0.323 0.643
0.317 0.683 0.746
0.934 0.686 0.747
0.625 0.377 0.749
0.325 0.077 0.752
0.929 0.077 0.753
0.680 0.938 0.861
```


Computed, not measured: crystalline NbGaOs at its relaxed geometry at the PBE level of DFT.

Space-group type: F-43m
Raw total energy: -23.091 eV/cell

Geometry as POSCAR:
```
NbGaOs
1.0
0.000 3.050 3.050
3.050 0.000 3.050
3.050 3.050 0.000
Ga Nb Os
1 1 1
Direct
0.250 0.250 0.250
0.000 0.000 0.000
0.750 0.750 0.750
```


Computed, not measured: crystalline GdDyFe2Cl2 at its relaxed geometry at the PBE level of DFT.

Space-group type: P3m1
Raw total energy: -36.173 eV/cell

Geometry as POSCAR:
```
GdDyFe2Cl2
1.0
-1.665 -3.046 1.591
3.097 -0.443 -2.188
6.486 1.129 8.952
Cl Dy Fe Gd
2 1 2 1
Direct
0.333 0.667 0.163
0.667 0.333 0.838
0.000 0.000 0.319
0.667 0.333 0.490
0.333 0.667 0.509
0.000 0.000 0.681
```


Computed, not measured: crystalline RbPd at its relaxed geometry at the PBE level of DFT.

Space-group type: F-43m
Raw total energy: -4.572 eV/cell

Geometry as POSCAR:
```
RbPd
1.0
4.999 -1.045 -0.031
1.741 -4.216 2.296
1.780 -3.883 -2.800
Pd Rb
1 1
Direct
0.000 0.000 0.000
0.250 0.250 0.250
```


Computed, not measured: crystalline SrSmGe at its relaxed geometry at the PBE level of DFT.

Space-group type: F-43m
Raw total energy: -12.280 eV/cell

Geometry as POSCAR:
```
SrSmGe
1.0
0.000 3.656 3.656
3.656 0.000 3.656
3.656 3.656 0.000
Ge Sm Sr
1 1 1
Direct
0.000 0.000 0.000
0.250 0.250 0.250
0.750 0.750 0.750
```


Computed, not measured: crystalline YZnCoAu at its relaxed geometry at the PBE level of DFT.

Space-group type: F-43m
ΔE to the lowest computed polymorph: 81 meV per atom

Geometry as POSCAR:
```
YZnCoAu
1.0
0.000 3.327 3.327
3.327 0.000 3.327
3.327 3.327 0.000
Au Co Y Zn
1 1 1 1
Direct
0.500 0.500 0.500
0.750 0.750 0.750
0.250 0.250 0.250
0.000 0.000 0.000
```


Computed, not measured: crystalline ZrW at its relaxed geometry at the PBE level of DFT.

Space-group type: Imma
Raw total energy: -84.831 eV/cell

Geometry as POSCAR:
```
ZrW
1.0
4.734 0.000 0.000
0.000 6.656 0.000
0.000 0.000 4.718
W Zr
4 4
Direct
0.917 0.499 0.000
0.417 0.751 0.000
0.917 0.251 0.500
0.417 0.999 0.500
0.916 0.000 0.000
0.416 0.250 0.000
0.417 0.500 0.500
0.917 0.750 0.500
```


Computed, not measured: crystalline Ho3ReB7 at its relaxed geometry at the PBE level of DFT.

Space-group type: Cmcm
Raw total energy: -159.652 eV/cell

Geometry as POSCAR:
```
Ho3ReB7
1.0
2.128 2.381 1.486
5.839 -4.570 3.133
4.796 0.676 -7.953
B Ho Re
14 6 2
Direct
0.273 0.454 0.033
0.480 0.041 0.095
0.368 0.264 0.150
0.544 0.913 0.250
0.368 0.264 0.350
0.480 0.041 0.405
0.273 0.454 0.467
0.727 0.546 0.533
0.520 0.959 0.595
0.632 0.736 0.650
0.456 0.087 0.750
0.632 0.736 0.850
0.520 0.959 0.905
0.727 0.546 0.967
0.105 0.789 0.060
0.758 0.485 0.250
0.105 0.789 0.440
0.895 0.211 0.560
0.242 0.515 0.750
0.895 0.211 0.940
0.947 0.106 0.250
0.053 0.894 0.750
```


Computed, not measured: crystalline SrZrAuN at its relaxed geometry at the PBE level of DFT.

Space-group type: Cmcm
Raw total energy: -49.549 eV/cell

Geometry as POSCAR:
```
SrZrAuN
1.0
-5.730 -2.739 -6.498
4.388 0.060 7.956
-3.693 2.948 2.015
Au N Sr Zr
2 2 2 2
Direct
0.961 0.039 0.250
0.039 0.961 0.750
0.173 0.827 0.250
0.827 0.173 0.750
0.794 0.206 0.250
0.206 0.794 0.750
0.595 0.405 0.250
0.405 0.595 0.750
```


Computed, not measured: crystalline TaZnFePb at its relaxed geometry at the PBE level of DFT.

Space-group type: F-43m
ΔE to the lowest computed polymorph: 0 meV per atom

Geometry as POSCAR:
```
TaZnFePb
1.0
-2.264 -3.838 0.960
-3.465 -1.326 -2.649
0.457 -3.649 -2.693
Fe Pb Ta Zn
1 1 1 1
Direct
0.750 0.750 0.750
0.000 0.000 0.000
0.500 0.500 0.500
0.250 0.250 0.250
```


Computed, not measured: crystalline LuSnIr at its relaxed geometry at the PBE level of DFT.

Space-group type: Pnma
Raw total energy: -78.577 eV/cell

Geometry as POSCAR:
```
LuSnIr
1.0
7.022 0.000 0.000
0.000 4.654 0.000
0.000 0.000 7.696
Ir Lu Sn
4 4 4
Direct
0.326 0.250 0.060
0.826 0.250 0.440
0.174 0.750 0.560
0.674 0.750 0.940
0.988 0.750 0.205
0.488 0.750 0.295
0.512 0.250 0.705
0.012 0.250 0.795
0.711 0.250 0.107
0.211 0.250 0.393
0.789 0.750 0.607
0.289 0.750 0.893
```


Computed, not measured: crystalline Na2La2In2AgAu at its relaxed geometry at the PBE level of DFT.

Space-group type: P-4m2
Raw total energy: -26.960 eV/cell

Geometry as POSCAR:
```
Na2La2In2AgAu
1.0
5.149 0.000 0.000
0.000 5.149 0.000
0.000 0.000 7.284
Ag Au In La Na
1 1 2 2 2
Direct
0.000 0.000 0.000
0.500 0.500 0.500
0.500 0.000 0.248
0.000 0.500 0.752
0.000 0.500 0.254
0.500 0.000 0.746
0.500 0.500 0.000
0.000 0.000 0.500
```